Density functional theory data (PBE) for a relaxed structure of CsGaSN2.

Output
E above lowest polymorph = 1.222 eV/atom
formation energy without anion corrections = 2.218 eV/atom
DOS at the Fermi energy = 4.0 states/eV/cell

Unit cell a=4.4112 b=4.4112 c=6.9715 alpha=90.00 beta=90.00 gamma=90.00
Element x y z (fractional)
Cs 0.0000 0.0000 0.0000
Ga 0.5000 0.5000 0.5000
S 0.0000 0.0000 0.5000
N 0.0000 0.5000 0.0000
N 0.5000 0.0000 0.0000